# 1
An optimized crystal structure of Mn3AgSe, computed with PBE.

abc: 4.564 4.564 4.564
angles: 90.00 90.00 90.00
Space group Pm-3m (No. 221)
One atom of each set of equivalent atoms:
Mn: 0.000 0.000 0.500 (multiplicity 3)
Ag: 0.500 0.500 0.500 (multiplicity 1)
Se: 0.000 0.000 0.000 (multiplicity 1)

## Properties
Offset from the most stable computed form ... 0.0 kJ per mole of atoms
Total magnetic moment ... 10.19 Bohr magnetons per cell
Calculated volume ... 19.01 Å³ per atom
Formation energy (no corrections) ... 0.55 eV per atom

***

# 2
An optimized crystal structure of Nb2CuNiSn, computed with PBE.

abc: 4.676 4.676 4.596
angles: 90.00 90.00 90.00
Space group P4/mmm (No. 123)
One atom of each set of equivalent atoms:
Nb: 0.000 0.500 0.000 (multiplicity 2)
Cu: 0.000 0.000 0.000 (multiplicity 1)
Ni: 0.500 0.500 0.500 (multiplicity 1)
Sn: 0.000 0.000 0.500 (multiplicity 1)

## Properties
Energy relative to the elements ... 1.129 eV/atom
Total magnetic moment ... 0.00 Bohr magnetons per cell
Calculated volume ... 20.10 Å³ per atom

***

# 3
An optimized crystal structure of GaRe, computed with PBE.

abc: 7.011 7.011 7.011
angles: 90.00 90.00 90.00
Space group Pm-3n (No. 223)
One atom of each set of equivalent atoms:
Ga: 0.000 0.250 0.500 (multiplicity 6)
Re: 0.000 0.500 0.250 (multiplicity 6)

## Properties
Energy relative to the elements ... 1.950 eV/atom
Total magnetic moment ... 12.00 Bohr magnetons per cell
Calculated volume ... 28.72 Å³ per atom

***

# 4
An optimized crystal structure of YAgTe2, computed with PBE.

abc: 6.661 6.661 13.608
angles: 90.00 90.00 90.00
Space group I-42d (No. 122)
One atom of each set of equivalent atoms:
Y: 0.000 0.000 0.000 (multiplicity 4)
Ag: 0.000 0.000 0.500 (multiplicity 4)
Te: 0.236 0.250 0.625 (multiplicity 8)

## Properties
Total magnetic moment ... 0.00 Bohr magnetons per cell
Calculated volume ... 37.74 Å³ per atom
Formation energy (no corrections) ... -0.75 eV per atom

***

# 5
An optimized crystal structure of SrMg2P, computed with PBE.

abc: 3.661 4.183 14.051
angles: 90.00 90.00 90.00
Space group Imm2 (No. 44)
One atom of each set of equivalent atoms:
Sr: 0.000 0.000 0.000 (multiplicity 2)
Mg: 0.000 0.000 0.665 (multiplicity 2)
Mg: 0.000 0.500 0.806 (multiplicity 2)
P: 0.000 0.500 0.315 (multiplicity 2)

## Properties
Energy relative to the elements ... -0.268 eV/atom
Total magnetic moment ... 0.00 Bohr magnetons per cell
Calculated volume ... 26.89 Å³ per atom